The following is a PBE-GGA calculation of a relaxed Ho2ZnCl crystal, from Alexandria via LeMat-Bulk.

a b c (Å): 3.4004 3.4004 31.3545
angles (deg): 90.00 90.00 120.00
Last column: nearest neighbours and their distance in Å.
Space group R-3m (No. 166, hexagonal axes)
Asymmetric unit:
Ho (0.0000, 0.0000, 0.0956) x6  3 Cl 2.97, 1 Zn 3.00
Zn (0.0000, 0.0000, 0.0000) x3  2 Ho 3.00
Cl (0.0000, 0.0000, 0.5000) x3  6 Ho 2.97

Properties
The energy above the most stable polymorph in this dataset is 430 meV per atom. The calculation puts the total energy at -0.2485 Ry per atom. The value obtained for the energy relative to the elements, uncorrected is -0.312 eV per atom. As for the magnetization: 0.000 μB per formula unit.